Material: BaMn2Re
Method: DFT, PBE
State: optimized geometry

Cell lengths 4.2361, 4.2361, 6.4802 Å; angles 70.90, 70.90, 60.00 degrees
Each line ends with the local moment (μB).
Atoms (fractional coordinates):
Ba1 0.2500 0.2500 0.2500  0.04
Mn1 0.0584 0.0584 0.8248  2.46
Mn2 0.4416 0.4416 0.6752  2.46
Re1 0.7500 0.7500 0.7500  -0.64

Results
V ... 93 Å³/f.u.
E above lowest polymorph ... 0.0 kJ/mol of formula units
Energy of formation from the pure elements ... 0.4969 eV per atom



Material: BaMn2Re
Method: DFT, PBE
State: optimized geometry

Cell lengths 6.9150, 6.9150, 6.9150 Å; angles 150.14, 144.68, 46.90 degrees
Each line ends with the local moment (μB).
Atoms (fractional coordinates):
Re1 0.4651 0.4651 0.0000  -0.50
Mn1 0.3592 0.8592 0.5000  1.04
Mn2 0.9675 0.9675 0.0000  3.31
Ba1 0.7082 0.2082 0.5000  0.05

Results
V ... 95 Å³/f.u.
E above lowest polymorph ... 118.6 kJ/mol of formula units
Energy of formation from the pure elements ... 0.8043 eV per atom



Material: BaMn2Re
Method: DFT, PBE
State: optimized geometry

Cell lengths 5.2584, 5.2584, 5.2584 Å; angles 133.87, 112.64, 85.53 degrees
Each line ends with the local moment (μB).
Atoms (fractional coordinates):
Mn1 0.4251 0.4251 0.0000  3.11
Mn2 0.0749 0.0749 0.0000  3.11
Re1 0.2500 0.7500 0.5000  -1.01
Ba1 0.7500 0.2500 0.5000  0.05

Results
V ... 93 Å³/f.u.
E above lowest polymorph ... 212.7 kJ/mol of formula units
Energy of formation from the pure elements ... 1.0479 eV per atom



Material: BaMn2Re
Method: DFT, PBE
State: optimized geometry

Cell lengths 10.0642, 10.0642, 10.0642 Å; angles 17.10, 17.10, 17.10 degrees
Each line ends with the local moment (μB).
Atoms (fractional coordinates):
Mn1 0.2470 0.2470 0.2470  1.84
Mn2 0.9808 0.9808 0.9808  3.54
Re1 0.5196 0.5196 0.5196  -0.29
Ba1 0.7526 0.7526 0.7526  0.02

Results
V ... 77 Å³/f.u.
E above lowest polymorph ... 217.9 kJ/mol of formula units
Energy of formation from the pure elements ... 1.0614 eV per atom



Material: BaMn2Re
Method: DFT, PBE
State: optimized geometry

Cell lengths 4.5805, 4.5805, 4.5805 Å; angles 60.00, 60.00, 60.00 degrees
Atoms (fractional coordinates):
Ba1 0.0000 0.0000 0.0000
Re1 0.5000 0.5000 0.5000
Mn1 0.2500 0.2500 0.2500
Mn2 0.7500 0.7500 0.7500

Results
V ... 68 Å³/f.u.
E above lowest polymorph ... 370.9 kJ/mol of formula units
Energy of formation from the pure elements ... 1.4580 eV per atom



Material: BaMnRe
Method: DFT, PBE
State: optimized geometry

Cell lengths 5.1392, 5.1392, 5.1392 Å; angles 60.00, 60.00, 60.00 degrees
Each line ends with the local moment (μB).
Atoms (fractional coordinates):
Mn1 0.0000 0.0000 0.0000  -4.20
Re1 0.5000 0.5000 0.5000  -2.67
Ba1 0.7500 0.7500 0.7500  -0.10

Results
V ... 96 Å³/f.u.
E above lowest polymorph ... 464.8 kJ/mol of formula units
Energy of formation from the pure elements ... 2.3717 eV per atom